ScCrCo2 | PBE | optimized geometry

Geometry as POSCAR:
```
ScCrCo2
1.0
-2.720 -0.369 1.152
1.196 -0.395 2.697
-0.372 6.006 1.044
Co Cr Sc
2 1 1
direct
0.000 0.000 0.035
0.500 0.500 0.257
0.000 0.000 0.449
0.500 0.500 0.759
```

Properties
**Formation energy from the elements**: 0.149 eV/atom
**V**: 13.53 Å³ per atom
**Total energy**: -7.3924 eV per atom
**M_tot**: 0.42 μB per atom

Sc2CrCo | PBE | optimized geometry

Geometry as POSCAR:
```
Sc2CrCo
1.0
7.123 0.000 0.000
0.000 7.123 0.000
3.561 3.561 2.841
Sc Cr Co
4 2 2
direct
0.668 0.125 0.250
0.082 0.625 0.250
0.375 0.332 0.750
0.875 0.918 0.750
0.500 0.500 0.000
0.250 0.750 0.500
0.000 0.000 0.000
0.750 0.250 0.500
```

Properties
**Formation energy from the elements**: 0.335 eV/atom
**V**: 18.02 Å³ per atom
**Total energy**: -7.0132 eV per atom
**M_tot**: 0.80 μB per atom